# 1
## InSn2AsO (GGA-PBEsol)

Data for a geometry-optimized InSn2AsO structure.

Results
Calculated density in Mg/m³: 5.96
DOS at the Fermi energy in states/eV per cell: 3.3
E_tot in eV for the cell shown: -20.626

```
InSn2AsO
1.0
5.587 0.000 0.000
0.000 5.587 0.000
0.000 0.000 3.954
In Sn As O
1 2 1 1
Cartesian
0.000 0.000 0.000
0.000 2.793 0.000
2.793 0.000 0.000
2.793 2.793 1.977
0.000 0.000 1.977
```

---

# 2
## TlInAs2O7 (GGA-PBEsol)

Data for a geometry-optimized TlInAs2O7 structure.

Results
Calculated density in Mg/m³: 5.62
DOS at the Fermi energy in states/eV per cell: 0.0
E_tot in eV for the cell shown: -266.276

```
TlInAs2O7
1.0
7.831 0.000 0.000
2.345 8.307 0.000
0.013 0.260 10.547
Tl In As O
4 4 8 28
Cartesian
2.266 3.858 1.869
3.610 7.895 3.393
6.580 0.673 7.154
7.924 4.709 8.678
2.397 2.061 6.342
3.606 6.370 9.557
6.585 2.198 0.990
7.793 6.506 4.205
2.564 5.703 6.362
1.595 1.462 9.784
4.179 2.940 9.031
5.404 6.782 6.676
4.787 1.785 3.871
6.011 5.628 1.516
8.595 7.105 0.763
7.626 2.864 4.185
0.737 2.416 0.077
1.933 6.628 5.074
2.411 6.682 7.755
1.893 4.170 6.532
1.243 1.592 8.127
3.752 8.254 10.496
3.218 4.326 9.119
4.854 8.222 5.971
3.253 2.294 4.393
4.300 5.523 6.018
3.328 1.774 10.074
4.451 5.452 0.898
5.382 6.657 8.370
4.213 2.262 7.465
5.977 6.306 3.082
4.808 1.911 2.177
5.739 3.116 9.649
6.862 6.794 0.473
5.890 3.045 4.529
6.937 6.274 6.154
5.336 0.346 4.576
6.972 4.241 1.428
6.438 0.314 0.051
8.947 6.976 2.420
8.297 4.398 4.015
7.779 1.885 2.792
8.257 1.939 5.473
9.453 6.151 10.470
```

---

# 3
## InAsOs2 (GGA-PBEsol)

Data for a geometry-optimized InAsOs2 structure.

Results
Calculated density in Mg/m³: 14.16
DOS at the Fermi energy in states/eV per cell: 2.6
Energy of formation in eV/atom: 0.273
Energy above the lowest structure with this stoichiometry in meV/atom: 0.0

```
InAsOs2
1.0
2.865 0.000 0.000
0.000 2.865 0.000
0.000 0.000 8.147
In As Os
1 1 2
Cartesian
0.000 0.000 0.000
1.433 1.433 5.482
0.000 0.000 3.782
1.433 1.433 2.068
```

---

# 4
## In2AsOs (GGA-PBEsol)

Data for a geometry-optimized In2AsOs structure.

Results
Calculated density in Mg/m³: 11.20
DOS at the Fermi energy in states/eV per cell: 1.7
Energy of formation in eV/atom: 0.459

```
In2AsOs
1.0
3.396 0.000 0.000
0.000 3.407 0.000
0.000 0.000 6.340
In As Os
2 1 1
Cartesian
0.000 0.000 1.486
0.000 0.000 4.854
1.698 1.704 3.170
1.698 1.704 0.000
```